DFT (PBE) results for a geometry-optimized RbNa2TlPb structure.

Energy above the most stable polymorph in this dataset = 36 meV/atom
Symmetry = P4/mmm, No. 123
Energy relative to the elements = 15 meV per atom

a b c (Å): 6.018 6.018 5.995
angles (deg): 90.00 90.00 90.00
Atoms (fractional coordinates):
Na (0.500, 0.000, 0.000)
Na (0.000, 0.500, 0.000)
Pb (0.000, 0.000, 0.500)
Rb (0.500, 0.500, 0.500)
Tl (0.000, 0.000, 0.000)